[1]
# BeTe2WN, relaxed, DFT GGA-PBE
data_BeTe2WN
_cell_length_a 5.410
_cell_length_b 5.410
_cell_length_c 3.803
_cell_angle_alpha 90.00
_cell_angle_beta 90.00
_cell_angle_gamma 90.00
_space_group_name_H-M_alt 'P 4/m m m'
_space_group_IT_number 123
_space_group_name_Hall '-P 4 2'
loop_
_atom_site_label
_atom_site_fract_x
_atom_site_fract_y
_atom_site_fract_z
_atom_site_occupancy
Be1 0.000 0.000 0.000 1
Te1 0.000 0.500 0.500 1
W1 0.500 0.500 0.500 1
N1 0.500 0.500 0.000 1
# **DFT total energy**: -5.5736 eV/atom
# **DOS(E_F)**: 2.5 states/eV/cell
# **Magnetization**: 0.00 μB per cell
# **Formation energy (no corrections)**: 0.68 eV per atom
# **Crystal system**: tetragonal

[2]
# BeTe2WN, relaxed, DFT GGA-PBE
data_BeTe2WN
_cell_length_a 5.276
_cell_length_b 5.276
_cell_length_c 3.080
_cell_angle_alpha 90.00
_cell_angle_beta 90.00
_cell_angle_gamma 90.00
_space_group_name_H-M_alt 'P 4/m m m'
_space_group_IT_number 123
_space_group_name_Hall '-P 4 2'
loop_
_atom_site_label
_atom_site_fract_x
_atom_site_fract_y
_atom_site_fract_z
_atom_site_occupancy
Be1 0.000 0.000 0.000 1
Te1 0.000 0.500 0.000 1
W1 0.500 0.500 0.500 1
N1 0.000 0.000 0.500 1
# **DFT total energy**: -5.3868 eV/atom
# **DOS(E_F)**: 3.9 states/eV/cell
# **Magnetization**: 1.37 μB per cell
# **Formation energy (no corrections)**: 0.87 eV per atom
# **Crystal system**: tetragonal

[3]
# Th2BeN, relaxed, DFT GGA-PBE
data_Th2BeN
_cell_length_a 3.4420
_cell_length_b 3.4420
_cell_length_c 27.4244
_cell_angle_alpha 90.00
_cell_angle_beta 90.00
_cell_angle_gamma 120.00
_space_group_name_H-M_alt 'R -3 m'
_space_group_IT_number 166
_space_group_name_Hall '-R 3 2"'
loop_
_atom_site_label
_atom_site_fract_x
_atom_site_fract_y
_atom_site_fract_z
_atom_site_occupancy
Th1 0.0000 0.0000 0.1113 1
Be1 0.0000 0.0000 0.0000 1
N1 0.0000 0.0000 0.5000 1
# **DFT total energy**: -6.6228 eV/atom
# **DOS(E_F)**: 17.0 states/eV/cell
# **Magnetization**: 0.00 μB per cell
# **Formation energy (no corrections)**: 0.10 eV per atom
# **Crystal system**: trigonal

[4]
# ThBeN, relaxed, DFT GGA-PBE
data_ThBeN
_cell_length_a 7.396
_cell_length_b 7.396
_cell_length_c 3.154
_cell_angle_alpha 90.00
_cell_angle_beta 90.00
_cell_angle_gamma 90.00
_space_group_name_H-M_alt 'P 42/m'
_space_group_IT_number 84
loop_
_space_group_symop_operation_xyz
'x,y,z'
'-x,-y,-z'
'-y,x,z+1/2'
'y,-x,-z+1/2'
'-x,-y,z'
'x,y,-z'
'y,-x,z+1/2'
'-y,x,-z+1/2'
loop_
_atom_site_label
_atom_site_fract_x
_atom_site_fract_y
_atom_site_fract_z
_atom_site_occupancy
Th1 0.078 0.704 0.000 1
Be1 0.342 0.397 0.000 1
N1 0.265 0.463 0.500 1
# **DFT total energy**: -6.9023 eV/atom
# **DOS(E_F)**: 7.3 states/eV/cell
# **Magnetization**: 0.00 μB per cell
# **Formation energy (no corrections)**: -0.41 eV per atom
# **Crystal system**: tetragonal

[5]
# ThZr2BeN4, relaxed, DFT GGA-PBE
data_ThZr2BeN4
_cell_length_a 3.266
_cell_length_b 10.918
_cell_length_c 10.942
_cell_angle_alpha 90.00
_cell_angle_beta 90.00
_cell_angle_gamma 90.00
_space_group_name_H-M_alt 'C m c m'
_space_group_IT_number 63
_space_group_name_Hall '-C 2c 2'
loop_
_atom_site_label
_atom_site_fract_x
_atom_site_fract_y
_atom_site_fract_z
_atom_site_occupancy
Th1 0.000 0.101 0.250 1
Zr1 0.000 0.369 0.051 1
Be1 0.000 0.173 0.750 1
N1 0.000 0.000 0.000 1
N2 0.000 0.266 0.625 1
N3 0.000 0.419 0.250 1
# **DFT total energy**: -9.1810 eV/atom
# **DOS(E_F)**: 8.1 states/eV/cell
# **Magnetization**: 0.00 μB per cell
# **Formation energy (no corrections)**: -1.49 eV per atom
# **Crystal system**: orthorhombic

[6]
# Ti4BeN5, relaxed, DFT GGA-PBE
data_Ti4BeN5
_cell_length_a 6.613
_cell_length_b 6.613
_cell_length_c 4.195
_cell_angle_alpha 90.00
_cell_angle_beta 90.00
_cell_angle_gamma 90.00
_space_group_name_H-M_alt 'I 4'
_space_group_IT_number 79
loop_
_space_group_symop_operation_xyz
'x,y,z'
'-y,x,z'
'-x,-y,z'
'y,-x,z'
'x+1/2,y+1/2,z+1/2'
'-y+1/2,x+1/2,z+1/2'
'-x+1/2,-y+1/2,z+1/2'
'y+1/2,-x+1/2,z+1/2'
loop_
_atom_site_label
_atom_site_fract_x
_atom_site_fract_y
_atom_site_fract_z
_atom_site_occupancy
Ti1 0.104 0.702 0.000 1
Be1 0.000 0.000 0.557 1
N1 0.000 0.000 0.976 1
N2 0.094 0.709 0.500 1
# **DFT total energy**: -9.1673 eV/atom
# **DOS(E_F)**: 6.2 states/eV/cell
# **Magnetization**: 0.00 μB per cell
# **Formation energy (no corrections)**: -1.47 eV per atom
# **Crystal system**: tetragonal